*a*
First-principles (PBE) data for KCr3Te after structural relaxation, as listed in Alexandria via LeMat-Bulk.

Total magnetic moment = 15.0 Bohr magnetons per cell
Crystal system = cubic
Calculated density = 3.3 g cm⁻³

Cell: 5.4365 5.4365 5.4365 Å, 90.00 90.00 90.00°
Space group Pm-3m (No. 221)
Symmetry-distinct sites (fractional):
1 K 0.0000 0.0000 0.0000 [1 per cell]
2 Cr 0.0000 0.0000 0.5000 [3 per cell]
3 Te 0.5000 0.5000 0.5000 [1 per cell]


*b*
First-principles (PBE) data for KCr3Te after structural relaxation, as listed in Alexandria via LeMat-Bulk.

Total magnetic moment = 13.7 Bohr magnetons per cell
Crystal system = cubic
Calculated density = 3.4 g cm⁻³

Cell: 5.4174 5.4174 5.4174 Å, 90.00 90.00 90.00°
Space group Pm-3m (No. 221)
Symmetry-distinct sites (fractional):
1 K 0.0000 0.0000 0.0000 [1 per cell]
2 Cr 0.0000 0.5000 0.5000 [3 per cell]
3 Te 0.5000 0.5000 0.5000 [1 per cell]


It is *b* that is the most stable of them.


*a*
First-principles (PBE) data for KTiCr2 after structural relaxation, as listed in Alexandria via LeMat-Bulk.

Total magnetic moment = 26.2 Bohr magnetons per cell
Crystal system = cubic
Calculated density = 3.8 g cm⁻³

Cell: 6.9648 6.9648 6.9648 Å, 90.00 90.00 90.00°
Space group Fm-3m (No. 225)
Symmetry-distinct sites (fractional):
1 K 0.0000 0.0000 0.0000 [4 per cell]
2 Ti 0.0000 0.0000 0.5000 [4 per cell]
3 Cr 0.2500 0.2500 0.2500 [8 per cell]


*b*
First-principles (PBE) data for KTiCr2 after structural relaxation, as listed in Alexandria via LeMat-Bulk.

Total magnetic moment = 24.2 Bohr magnetons per cell
Crystal system = tetragonal
Calculated density = 2.7 g cm⁻³

Cell: 5.2288 5.2288 17.4182 Å, 90.00 90.00 90.00°
Space group I4_1/amd (No. 141, origin choice 2)
Symmetry-distinct sites (fractional):
1 K 0.0000 0.2500 0.3750 [4 per cell]
2 Ti 0.0000 0.2500 0.8750 [4 per cell]
3 Cr 0.0000 0.0000 0.0000 [8 per cell]


It is *a* that is the most stable of them.


*a*
First-principles (PBE) data for KTi2Cr after structural relaxation, as listed in Alexandria via LeMat-Bulk.

Total magnetic moment = 1.8 Bohr magnetons per cell
Crystal system = tetragonal
Calculated density = 2.6 g cm⁻³

Cell: 7.0018 7.0018 9.9248 Å, 90.00 90.00 90.00°
Space group I4_1/amd (No. 141, origin choice 2)
Symmetry-distinct sites (fractional):
1 K 0.0000 0.2500 0.3750 [4 per cell]
2 Ti 0.0000 0.0000 0.0000 [8 per cell]
3 Cr 0.0000 0.2500 0.8750 [4 per cell]


*b*
First-principles (PBE) data for KTi2Cr after structural relaxation, as listed in Alexandria via LeMat-Bulk.

Total magnetic moment = 9.7 Bohr magnetons per cell
Crystal system = cubic
Calculated density = 3.8 g cm⁻³

Cell: 6.8808 6.8808 6.8808 Å, 90.00 90.00 90.00°
Space group Fm-3m (No. 225)
Symmetry-distinct sites (fractional):
1 K 0.0000 0.0000 0.0000 [4 per cell]
2 Ti 0.2500 0.2500 0.2500 [8 per cell]
3 Cr 0.0000 0.0000 0.5000 [4 per cell]


It is *a* that is the most stable of them.


*a*
First-principles (PBE) data for KTiCr3 after structural relaxation, as listed in Alexandria via LeMat-Bulk.

Total magnetic moment = 10.8 Bohr magnetons per cell
Crystal system = cubic
Calculated density = 3.5 g cm⁻³

Cell: 4.8744 4.8744 4.8744 Å, 90.00 90.00 90.00°
Space group Pm-3m (No. 221)
Symmetry-distinct sites (fractional):
1 K 0.0000 0.0000 0.0000 [1 per cell]
2 Ti 0.5000 0.5000 0.5000 [1 per cell]
3 Cr 0.0000 0.0000 0.5000 [3 per cell]


*b*
First-principles (PBE) data for KTiCr3 after structural relaxation, as listed in Alexandria via LeMat-Bulk.

Total magnetic moment = 10.9 Bohr magnetons per cell
Crystal system = cubic
Calculated density = 3.4 g cm⁻³

Cell: 4.9049 4.9049 4.9049 Å, 90.00 90.00 90.00°
Space group Pm-3m (No. 221)
Symmetry-distinct sites (fractional):
1 K 0.0000 0.0000 0.0000 [1 per cell]
2 Ti 0.5000 0.5000 0.5000 [1 per cell]
3 Cr 0.0000 0.5000 0.5000 [3 per cell]


It is *b* that is the most stable of them.


*a*
First-principles (PBE) data for KTl2Cr after structural relaxation, as listed in Alexandria via LeMat-Bulk.

Total magnetic moment = 8.8 Bohr magnetons per cell
Crystal system = orthorhombic
Calculated density = 6.9 g cm⁻³

Cell: 4.2189 5.8059 9.8053 Å, 90.00 90.00 90.00°
Space group Immm (No. 71)
Symmetry-distinct sites (fractional):
1 K 0.0000 0.0000 0.0000 [2 per cell]
2 Tl 0.0000 0.5000 0.2103 [4 per cell]
3 Cr 0.0000 0.0000 0.5000 [2 per cell]


*b*
First-principles (PBE) data for KTl2Cr after structural relaxation, as listed in Alexandria via LeMat-Bulk.

Total magnetic moment = 12.4 Bohr magnetons per cell
Crystal system = trigonal
Calculated density = 7.0 g cm⁻³

Cell: 3.7453 3.7453 29.4640 Å, 90.00 90.00 120.00°
Space group R-3m (No. 166, hexagonal axes)
Symmetry-distinct sites (fractional):
1 K 0.0000 0.0000 0.0000 [3 per cell]
2 Tl 0.0000 0.0000 0.2341 [6 per cell]
3 Cr 0.0000 0.0000 0.5000 [3 per cell]


*c*
First-principles (PBE) data for KTl2Cr after structural relaxation, as listed in Alexandria via LeMat-Bulk.

Total magnetic moment = 3.9 Bohr magnetons per cell
Crystal system = monoclinic
Calculated density = 6.7 g cm⁻³

Cell: 3.4117 4.6370 7.8305 Å, 90.00 90.26 90.00°
Space group Pm (No. 6)
Symmetry-distinct sites (fractional):
1 K 0.0000 0.0000 0.0000 [1 per cell]
2 Tl 0.5031 0.5000 0.2879 [1 per cell]
3 Tl 0.5064 0.0000 0.5832 [1 per cell]
4 Cr 0.0069 0.5000 0.6046 [1 per cell]


It is *c* that is the most stable of them.


*a*
First-principles (PBE) data for KTl2Cr after structural relaxation, as listed in Alexandria via LeMat-Bulk.

Total magnetic moment = 4.3 Bohr magnetons per cell
Crystal system = tetragonal
Calculated density = 7.2 g cm⁻³

Cell: 5.2958 5.2958 4.0870 Å, 90.00 90.00 90.00°
Space group P4/mmm (No. 123)
Symmetry-distinct sites (fractional):
1 K 0.0000 0.0000 0.0000 [1 per cell]
2 Tl 0.0000 0.5000 0.5000 [2 per cell]
3 Cr 0.5000 0.5000 0.0000 [1 per cell]


*b*
First-principles (PBE) data for KTl2Cr after structural relaxation, as listed in Alexandria via LeMat-Bulk.

Total magnetic moment = 4.6 Bohr magnetons per cell
Crystal system = tetragonal
Calculated density = 6.7 g cm⁻³

Cell: 3.8743 3.8743 8.3014 Å, 90.00 90.00 90.00°
Space group P4mm (No. 99)
Symmetry-distinct sites (fractional):
1 K 0.0000 0.0000 0.0000 [1 per cell]
2 Tl 0.0000 0.0000 0.5505 [1 per cell]
3 Tl 0.5000 0.5000 0.3074 [1 per cell]
4 Cr 0.5000 0.5000 0.6749 [1 per cell]


*c*
First-principles (PBE) data for KTl2Cr after structural relaxation, as listed in Alexandria via LeMat-Bulk.

Total magnetic moment = 8.4 Bohr magnetons per cell
Crystal system = monoclinic
Calculated density = 6.8 g cm⁻³

Cell: 9.0573 3.3523 8.1223 Å, 90.00 96.97 90.00°
Space group C2/m (No. 12)
Symmetry-distinct sites (fractional):
1 K 0.0000 0.0000 0.0000 [2 per cell]
2 Tl 0.2385 0.0000 0.6864 [4 per cell]
3 Cr 0.0000 0.5000 0.5000 [2 per cell]


*d*
First-principles (PBE) data for KTl2Cr after structural relaxation, as listed in Alexandria via LeMat-Bulk.

Total magnetic moment = 9.5 Bohr magnetons per cell
Crystal system = tetragonal
Calculated density = 7.3 g cm⁻³

Cell: 5.4400 5.4400 7.7275 Å, 90.00 90.00 90.00°
Space group I-4m2 (No. 119)
Symmetry-distinct sites (fractional):
1 K 0.0000 0.0000 0.0000 [2 per cell]
2 Tl 0.0000 0.0000 0.5000 [2 per cell]
3 Tl 0.0000 0.5000 0.7500 [2 per cell]
4 Cr 0.0000 0.5000 0.2500 [2 per cell]


It is *c* that is the most stable of them.


*a*
First-principles (PBE) data for KTl2Cr after structural relaxation, as listed in Alexandria via LeMat-Bulk.

Total magnetic moment = 7.6 Bohr magnetons per cell
Crystal system = orthorhombic
Calculated density = 6.6 g cm⁻³

Cell: 3.4516 4.5131 16.1119 Å, 90.00 90.00 90.00°
Space group Imm2 (No. 44)
Symmetry-distinct sites (fractional):
1 K 0.0000 0.0000 0.0000 [2 per cell]
2 Tl 0.0000 0.0000 0.6480 [2 per cell]
3 Tl 0.0000 0.5000 0.8087 [2 per cell]
4 Cr 0.0000 0.5000 0.2964 [2 per cell]


*b*
First-principles (PBE) data for KTl2Cr after structural relaxation, as listed in Alexandria via LeMat-Bulk.

Total magnetic moment = 18.0 Bohr magnetons per cell
Crystal system = tetragonal
Calculated density = 5.3 g cm⁻³

Cell: 5.7279 5.7279 19.1236 Å, 90.00 90.00 90.00°
Space group I-42d (No. 122)
Symmetry-distinct sites (fractional):
1 K 0.0000 0.0000 0.0000 [4 per cell]
2 Tl 0.0958 0.2500 0.6250 [8 per cell]
3 Cr 0.0000 0.0000 0.5000 [4 per cell]


*c*
First-principles (PBE) data for KTl2Cr after structural relaxation, as listed in Alexandria via LeMat-Bulk.

Total magnetic moment = 17.2 Bohr magnetons per cell
Crystal system = cubic
Calculated density = 7.5 g cm⁻³

Cell: 7.6248 7.6248 7.6248 Å, 90.00 90.00 90.00°
Space group Fm-3m (No. 225)
Symmetry-distinct sites (fractional):
1 K 0.0000 0.0000 0.0000 [4 per cell]
2 Tl 0.2500 0.2500 0.2500 [8 per cell]
3 Cr 0.0000 0.0000 0.5000 [4 per cell]


It is *a* that is the most stable of them.


*a*
First-principles (PBE) data for KTl2Cr after structural relaxation, as listed in Alexandria via LeMat-Bulk.

Total magnetic moment = 4.0 Bohr magnetons per cell
Crystal system = tetragonal
Calculated density = 7.5 g cm⁻³

Cell: 3.5855 3.5855 8.5964 Å, 90.00 90.00 90.00°
Space group P4/mmm (No. 123)
Symmetry-distinct sites (fractional):
1 K 0.0000 0.0000 0.0000 [1 per cell]
2 Tl 0.5000 0.5000 0.3049 [2 per cell]
3 Cr 0.0000 0.0000 0.5000 [1 per cell]


*b*
First-principles (PBE) data for KTl2Cr after structural relaxation, as listed in Alexandria via LeMat-Bulk.

Total magnetic moment = 7.8 Bohr magnetons per cell
Crystal system = monoclinic
Calculated density = 6.3 g cm⁻³

Cell: 8.4788 4.8936 6.9873 Å, 90.00 113.81 90.00°
Space group Cm (No. 8)
Symmetry-distinct sites (fractional):
1 K 0.0000 0.0000 0.0000 [2 per cell]
2 Tl 0.2015 0.0000 0.6072 [2 per cell]
3 Tl 0.4574 0.0000 0.3742 [2 per cell]
4 Cr 0.3145 0.5000 0.4457 [2 per cell]


It is *a* that is the most stable of them.


*a*
First-principles (PBE) data for KTl3Cr after structural relaxation, as listed in Alexandria via LeMat-Bulk.

Total magnetic moment = 2.0 Bohr magnetons per cell
Crystal system = cubic
Calculated density = 7.6 g cm⁻³

Cell: 5.3565 5.3565 5.3565 Å, 90.00 90.00 90.00°
Space group Pm-3m (No. 221)
Symmetry-distinct sites (fractional):
1 K 0.0000 0.0000 0.0000 [1 per cell]
2 Tl 0.0000 0.5000 0.5000 [3 per cell]
3 Cr 0.5000 0.5000 0.5000 [1 per cell]


*b*
First-principles (PBE) data for KTl3Cr after structural relaxation, as listed in Alexandria via LeMat-Bulk.

Total magnetic moment = 1.2 Bohr magnetons per cell
Crystal system = cubic
Calculated density = 5.8 g cm⁻³

Cell: 5.8776 5.8776 5.8776 Å, 90.00 90.00 90.00°
Space group Pm-3m (No. 221)
Symmetry-distinct sites (fractional):
1 K 0.0000 0.0000 0.0000 [1 per cell]
2 Tl 0.0000 0.0000 0.5000 [3 per cell]
3 Cr 0.5000 0.5000 0.5000 [1 per cell]


It is *a* that is the most stable of them.


*a*
First-principles (PBE) data for KTlCr2 after structural relaxation, as listed in Alexandria via LeMat-Bulk.

Total magnetic moment = 18.5 Bohr magnetons per cell
Crystal system = tetragonal
Calculated density = 5.6 g cm⁻³

Cell: 4.6319 4.6319 9.6293 Å, 90.00 90.00 90.00°
Space group I-4m2 (No. 119)
Symmetry-distinct sites (fractional):
1 K 0.0000 0.0000 0.0000 [2 per cell]
2 Tl 0.0000 0.5000 0.7500 [2 per cell]
3 Cr 0.0000 0.0000 0.5000 [2 per cell]
4 Cr 0.0000 0.5000 0.2500 [2 per cell]


*b*
First-principles (PBE) data for KTlCr2 after structural relaxation, as listed in Alexandria via LeMat-Bulk.

Total magnetic moment = 9.1 Bohr magnetons per cell
Crystal system = monoclinic
Calculated density = 5.3 g cm⁻³

Cell: 3.5492 3.5746 8.6197 Å, 90.00 90.07 90.00°
Space group P2/m (No. 10)
Symmetry-distinct sites (fractional):
1 K 0.0000 0.0000 0.0000 [1 per cell]
2 Tl 0.0000 0.0000 0.5000 [1 per cell]
3 Cr 0.4996 0.5000 0.3232 [2 per cell]


It is *b* that is the most stable of them.


*a*
First-principles (PBE) data for KTlCr2 after structural relaxation, as listed in Alexandria via LeMat-Bulk.

Total magnetic moment = 36.9 Bohr magnetons per cell
Crystal system = cubic
Calculated density = 5.5 g cm⁻³

Cell: 7.5067 7.5067 7.5067 Å, 90.00 90.00 90.00°
Space group F-43m (No. 216)
Symmetry-distinct sites (fractional):
1 K 0.0000 0.0000 0.0000 [4 per cell]
2 Tl 0.2500 0.2500 0.7500 [4 per cell]
3 Cr 0.0000 0.0000 0.5000 [4 per cell]
4 Cr 0.2500 0.2500 0.2500 [4 per cell]


*b*
First-principles (PBE) data for KTlCr2 after structural relaxation, as listed in Alexandria via LeMat-Bulk.

Total magnetic moment = 8.8 Bohr magnetons per cell
Crystal system = orthorhombic
Calculated density = 5.6 g cm⁻³

Cell: 3.5498 5.2123 5.5357 Å, 90.00 90.00 90.00°
Space group Pmmm (No. 47)
Symmetry-distinct sites (fractional):
1 K 0.0000 0.0000 0.0000 [1 per cell]
2 Tl 0.5000 0.0000 0.5000 [1 per cell]
3 Cr 0.0000 0.5000 0.5000 [1 per cell]
4 Cr 0.5000 0.5000 0.0000 [1 per cell]


*c*
First-principles (PBE) data for KTlCr2 after structural relaxation, as listed in Alexandria via LeMat-Bulk.

Total magnetic moment = 0.1 Bohr magnetons per cell
Crystal system = monoclinic
Calculated density = 5.5 g cm⁻³

Cell: 8.4120 3.1158 8.0966 Å, 90.00 95.79 90.00°
Space group Cm (No. 8)
Symmetry-distinct sites (fractional):
1 K 0.0000 0.0000 0.0000 [2 per cell]
2 Tl 0.2389 0.0000 0.6585 [2 per cell]
3 Cr 0.2671 0.5000 0.3396 [2 per cell]
4 Cr 0.4936 0.0000 0.4128 [2 per cell]


It is *c* that is the most stable of them.


*a*
First-principles (PBE) data for KTlCr2 after structural relaxation, as listed in Alexandria via LeMat-Bulk.

Total magnetic moment = 0.5 Bohr magnetons per cell
Crystal system = tetragonal
Calculated density = 6.2 g cm⁻³

Cell: 3.2725 3.2725 8.6371 Å, 90.00 90.00 90.00°
Space group P4mm (No. 99)
Symmetry-distinct sites (fractional):
1 K 0.0000 0.0000 0.0000 [1 per cell]
2 Tl 0.5000 0.5000 0.3255 [1 per cell]
3 Cr 0.0000 0.0000 0.5628 [1 per cell]
4 Cr 0.5000 0.5000 0.6726 [1 per cell]


*b*
First-principles (PBE) data for KTlCr2 after structural relaxation, as listed in Alexandria via LeMat-Bulk.

Total magnetic moment = 18.2 Bohr magnetons per cell
Crystal system = orthorhombic
Calculated density = 5.8 g cm⁻³

Cell: 7.1542 7.1622 3.9037 Å, 90.00 90.00 90.00°
Space group Cmmm (No. 65)
Symmetry-distinct sites (fractional):
1 K 0.0000 0.0000 0.0000 [2 per cell]
2 Tl 0.0000 0.5000 0.0000 [2 per cell]
3 Cr 0.2500 0.2500 0.5000 [4 per cell]


It is *a* that is the most stable of them.